Record 1
Material: SrZn2Se2
Method: DFT, PBE-GGA
State: optimized geometry

a b c (Å): 8.0089 8.0089 8.0089
angles (deg): 151.35 151.35 40.96
Closest atoms and distances in Å follow each position.
Fractional positions:
Sr  0.0000  0.0000  0.0000  8 Se 3.20
Zn  0.2500  0.7500  0.5000  4 Zn 2.80, 4 Se 2.96
Zn  0.7500  0.2500  0.5000  4 Zn 2.80, 4 Se 2.96
Se  0.3968  0.3968  0.0000  4 Zn 2.96, 1 Se 3.10, 4 Sr 3.20
Se  0.6032  0.6032  0.0000  4 Zn 2.96, 1 Se 3.10, 4 Sr 3.20

Output
The density is 5.30 Mg/m³. The formation energy without anion corrections is -648.7 meV per atom. The energy relative to the lowest polymorph listed for this composition is 169.8 meV per atom. Its crystal system is tetragonal. As for the space group: I4/mmm.

***

Record 2
Material: MgTcIr2
Method: DFT, PBE-GGA
State: optimized geometry

a b c (Å): 4.6026 4.6026 2.8344
angles (deg): 90.00 90.00 90.00
Closest atoms and distances in Å follow each position.
Fractional positions:
Mg  0.0000  0.0000  0.0000  8 Ir 2.70, 2 Mg 2.83
Tc  0.5000  0.5000  0.0000  8 Ir 2.70, 2 Tc 2.83
Ir  0.0000  0.5000  0.5000  4 Tc 2.70, 4 Mg 2.70, 2 Ir 2.83
Ir  0.5000  0.0000  0.5000  4 Tc 2.70, 4 Mg 2.70, 2 Ir 2.83

Output
The density is 14.01 Mg/m³. Its crystal system is tetragonal. The formation energy comes out at -0.02 eV/atom. As for the space group: P4/mmm.

***

Record 3
Material: Pm4BiSb
Method: DFT, PBE-GGA
State: optimized geometry

a b c (Å): 8.1503 8.1503 11.6508
angles (deg): 90.00 90.00 149.58
Closest atoms and distances in Å follow each position.
Fractional positions:
Pm  0.0471  0.9529  0.5000  2 Sb 3.13, 1 Bi 3.20, 1 Pm 3.46
Pm  0.1522  0.8478  0.7611  2 Sb 3.25, 2 Bi 3.29, 2 Pm 3.46-3.47
Pm  0.2472  0.7528  0.0295  2 Sb 3.33, 3 Bi 3.36-3.48, 1 Pm 3.47
Pm  0.4520  0.5480  0.7253  2 Sb 3.21-3.51, 2 Bi 3.27
Pm  0.5480  0.4520  0.2253  2 Sb 3.21-3.51, 2 Bi 3.27
Pm  0.7528  0.2472  0.5295  2 Sb 3.33, 3 Bi 3.36-3.48, 1 Pm 3.47
Pm  0.8478  0.1522  0.2611  2 Sb 3.25, 2 Bi 3.29, 2 Pm 3.46-3.47
Pm  0.9529  0.0471  0.0000  2 Sb 3.13, 1 Bi 3.20, 1 Pm 3.46
Bi  0.1924  0.8076  0.3081  8 Pm 3.20-3.48
Bi  0.8076  0.1924  0.8081  8 Pm 3.20-3.48
Sb  0.4055  0.5945  0.4567  7 Pm 3.13-3.33
Sb  0.5945  0.4055  0.9567  7 Pm 3.13-3.33

Output
The density is 7.72 Mg/m³. The formation energy without anion corrections is -648.8 meV per atom. Its crystal system is orthorhombic. As for the space group: Cmc2_1.

***

Record 4
Material: H2OsN
Method: DFT, PBE-GGA
State: optimized geometry

a b c (Å): 3.3467 3.3467 3.3467
angles (deg): 60.00 60.00 60.00
Closest atoms and distances in Å follow each position.
Fractional positions:
H  0.2500  0.2500  0.2500  4 Os 2.05, 4 N 2.05
H  0.7500  0.7500  0.7500  4 Os 2.05, 4 N 2.05
Os  0.0000  0.0000  0.0000  8 H 2.05
N  0.5000  0.5000  0.5000  8 H 2.05

Output
The density is 12.92 Mg/m³. The energy relative to the lowest polymorph listed for this composition is 1463.8 meV per atom. Its crystal system is cubic. As for the space group: Fm-3m.

***

Record 5
Material: K3Dy3GeO8
Method: DFT, PBE-GGA
State: optimized geometry

a b c (Å): 7.4005 7.4005 7.4005
angles (deg): 54.05 54.05 54.05
Closest atoms and distances in Å follow each position.
Fractional positions:
K  0.0000  0.5000  0.5000  6 O 2.78-2.79
K  0.5000  0.0000  0.5000  6 O 2.78-2.79
K  0.5000  0.5000  0.0000  6 O 2.78-2.79
Dy  0.0000  0.0000  0.5000  6 O 2.25-2.33
Dy  0.0000  0.5000  0.0000  6 O 2.25-2.33
Dy  0.5000  0.0000  0.0000  6 O 2.25-2.33
Ge  0.5000  0.5000  0.5000  6 O 2.02
O  0.2271  0.2271  0.2271  3 Dy 2.25
O  0.2627  0.7035  0.7035  1 Ge 2.02
O  0.2965  0.2965  0.7373  1 Ge 2.02
O  0.2965  0.7373  0.2965  1 Ge 2.02
O  0.7035  0.2627  0.7035  1 Ge 2.02
O  0.7035  0.7035  0.2627  1 Ge 2.02
O  0.7373  0.2965  0.2965  1 Ge 2.02
O  0.7729  0.7729  0.7729  3 Dy 2.25

Output
The density is 5.42 Mg/m³. The formation energy without anion corrections is -2510.8 meV per atom. Its crystal system is trigonal. As for the space group: R-3m.

***

Record 6
Material: InCoSb2
Method: DFT, PBE-GGA
State: optimized geometry

a b c (Å): 4.0447 5.7302 5.7302
angles (deg): 48.35 90.00 90.00
Closest atoms and distances in Å follow each position.
Fractional positions:
In  0.0000  0.0000  0.0000  2 Co 2.73, 2 Sb 3.00
Co  0.5000  0.8246  0.8246  4 Sb 2.38-2.53
Sb  0.0000  0.6794  0.6794  2 Co 2.53
Sb  0.5000  0.3616  0.3616  2 Co 2.38

Output
The density is 6.98 Mg/m³. The formation energy without anion corrections is 61.7 meV per atom. Its crystal system is orthorhombic. As for the space group: Amm2.

***

Record 7
Material: Nb2Os6W
Method: DFT, PBE-GGA
State: optimized geometry

a b c (Å): 6.9432 6.9432 7.1386
angles (deg): 114.70 114.70 86.22
Closest atoms and distances in Å follow each position.
Fractional positions:
Nb  0.0913  0.2758  0.4233  7 Os 2.69-2.89, 2 W 2.76-2.79
Nb  0.2758  0.0913  0.9233  7 Os 2.69-2.89, 2 W 2.76-2.79
Nb  0.7242  0.9087  0.0767  7 Os 2.69-2.89, 2 W 2.76-2.79
Nb  0.9087  0.7242  0.5767  7 Os 2.69-2.89, 2 W 2.76-2.79
Os  0.1047  0.8382  0.0462  4 Os 2.52-2.76, 3 Nb 2.74-2.80
Os  0.1165  0.4410  0.8722  6 Os 2.52-2.81, 1 Nb 2.70
Os  0.1618  0.8953  0.4538  4 Os 2.52-2.76, 3 Nb 2.74-2.80
Os  0.3102  0.4812  0.3118  2 Nb 2.69-2.89, 2 W 2.72-2.77, 7 Os 2.72-2.90
Os  0.4410  0.1165  0.3722  6 Os 2.52-2.81, 1 Nb 2.70
Os  0.4812  0.3102  0.8118  2 Nb 2.69-2.89, 2 W 2.72-2.77, 7 Os 2.72-2.90
Os  0.5188  0.6898  0.1882  2 Nb 2.69-2.89, 2 W 2.72-2.77, 7 Os 2.72-2.90
Os  0.5590  0.8835  0.6278  6 Os 2.52-2.81, 1 Nb 2.70
Os  0.6898  0.5188  0.6882  2 Nb 2.69-2.89, 2 W 2.72-2.77, 7 Os 2.72-2.90
Os  0.8382  0.1047  0.5462  4 Os 2.52-2.76, 3 Nb 2.74-2.80
Os  0.8835  0.5590  0.1278  6 Os 2.52-2.81, 1 Nb 2.70
Os  0.8953  0.1618  0.9538  4 Os 2.52-2.76, 3 Nb 2.74-2.80
W  0.3377  0.6623  0.7500  8 Os 2.72-3.00, 4 Nb 2.76-2.79
W  0.6623  0.3377  0.2500  8 Os 2.72-3.00, 4 Nb 2.76-2.79

Output
The density is 17.82 Mg/m³. Its crystal system is monoclinic. The formation energy comes out at 0.14 eV/atom. As for the space group: C2/c.

***

Record 8
Material: Nd2Si3Au5
Method: DFT, PBE-GGA
State: optimized geometry

a b c (Å): 8.7218 8.7218 8.7218
angles (deg): 108.35 86.53 138.22
Closest atoms and distances in Å follow each position.
Fractional positions:
Nd  0.1295  0.2428  0.3723  10 Au 3.29-3.52, 6 Si 3.35-3.42
Nd  0.3705  0.7428  0.1133  10 Au 3.29-3.52, 6 Si 3.35-3.42
Nd  0.6295  0.2572  0.8867  10 Au 3.29-3.52, 6 Si 3.35-3.42
Nd  0.8705  0.7572  0.6277  10 Au 3.29-3.52, 6 Si 3.35-3.42
Si  0.1215  0.6359  0.7574  5 Au 2.40-2.59
Si  0.2500  0.2500  0.0000  4 Au 2.49
Si  0.3785  0.1359  0.5143  5 Au 2.40-2.59
Si  0.6215  0.8641  0.4857  5 Au 2.40-2.59
Si  0.7500  0.7500  0.0000  4 Au 2.49
Si  0.8785  0.3641  0.2426  5 Au 2.40-2.59
Au  0.0170  0.7500  0.2670  2 Si 2.52
Au  0.1130  0.8710  0.9840  3 Si 2.40-2.49
Au  0.2500  0.7500  0.5000  4 Si 2.59
Au  0.3870  0.3710  0.7581  3 Si 2.40-2.49
Au  0.4830  0.7500  0.7330  2 Si 2.52
Au  0.5170  0.2500  0.2670  2 Si 2.52
Au  0.6130  0.6290  0.2419  3 Si 2.40-2.49
Au  0.7500  0.2500  0.5000  4 Si 2.59
Au  0.8870  0.1290  0.0160  3 Si 2.40-2.49
Au  0.9830  0.2500  0.7330  2 Si 2.52

Output
The density is 11.18 Mg/m³. The formation energy without anion corrections is -589.1 meV per atom. The energy relative to the lowest polymorph listed for this composition is 0.0 meV per atom. Its crystal system is orthorhombic. As for the space group: Ibam.

***

no.,magnetization (Bohr magnetons per cell),E (eV per cell)
1,0.0,-14.44
2,0.0,-29.75
3,0.0,-61.80
4,0.0,-19.89
5,0.0,-99.04
6,0.0,-17.84
7,0.0,-198.35
8,0.0,-96.16